# 1
DFT (GGA-PBE) results for TaCdCuAs after structural relaxation.

Computed properties:
ΔE to the lowest computed polymorph	0.342	eV/atom
M_tot	0.2360	μB/atom

a = 6.612 Å, b = 6.612 Å, c = 6.612 Å
α = 90.00°, β = 90.00°, γ = 90.00°
Space group F-43m (No. 216)
Symmetry-distinct sites (fractional):
Ta 0.000 0.000 0.000 x4
Cd 0.250 0.250 0.250 x4
Cu 0.250 0.250 0.750 x4
As 0.000 0.000 0.500 x4



# 2
DFT (GGA-PBE) results for Dy2CdAsP after structural relaxation.

Computed properties:
energy	-4.9111	eV per atom
M_tot	0.0007	μB/atom

a = 3.999 Å, b = 17.880 Å, c = 6.399 Å
α = 90.00°, β = 90.00°, γ = 90.00°
Space group Cmc2_1 (No. 36)
Symmetry-distinct sites (fractional):
Dy 0.000 0.023 0.000 x4
Dy 0.000 0.202 0.684 x4
Cd 0.000 0.387 0.800 x4
As 0.000 0.417 0.214 x4
P 0.000 0.188 0.133 x4



# 3
DFT (GGA-PBE) results for ErCdAsO after structural relaxation.

Computed properties:
energy	-5.2476	eV per atom
M_tot	0.0004	μB/atom

a = 4.018 Å, b = 6.316 Å, c = 6.651 Å
α = 90.00°, β = 90.00°, γ = 90.00°
Space group Pmc2_1 (No. 26)
Symmetry-distinct sites (fractional):
Er 0.000 0.027 0.000 x2
Cd 0.500 0.394 0.359 x2
As 0.500 0.214 0.736 x2
O 0.000 0.223 0.268 x2



# 4
DFT (GGA-PBE) results for ErCdAsO after structural relaxation.

Computed properties:
energy	-5.2268	eV per atom
M_tot	0.0002	μB/atom

a = 4.451 Å, b = 6.105 Å, c = 6.112 Å
α = 90.00°, β = 90.00°, γ = 90.00°
Space group Pmc2_1 (No. 26)
Symmetry-distinct sites (fractional):
Er 0.000 0.234 0.000 x2
Cd 0.500 0.364 0.630 x2
As 0.000 0.236 0.470 x2
O 0.500 0.277 0.995 x2



# 5
DFT (GGA-PBE) results for SrErCdAs2 after structural relaxation.

Computed properties:
energy	-4.1802	eV per atom
M_tot	0.0027	μB/atom

a = 4.268 Å, b = 17.585 Å, c = 6.958 Å
α = 90.00°, β = 90.00°, γ = 90.00°
Space group Cmc2_1 (No. 36)
Symmetry-distinct sites (fractional):
Sr 0.000 0.195 0.000 x4
Er 0.000 0.027 0.677 x4
Cd 0.000 0.390 0.854 x4
As 0.000 0.177 0.527 x4
As 0.000 0.450 0.467 x4



# 6
DFT (GGA-PBE) results for Cd3AsF3 after structural relaxation.

Computed properties:
energy	-3.2385	eV per atom

a = 12.439 Å, b = 7.329 Å, c = 6.336 Å
α = 90.00°, β = 90.00°, γ = 90.00°
Space group Pnma (No. 62)
Symmetry-distinct sites (fractional):
Cd 0.000 0.000 0.000 x4
Cd 0.091 0.250 0.460 x4
Cd 0.197 0.750 0.483 x4
As 0.115 0.250 0.851 x4
F 0.069 0.750 0.714 x4
F 0.128 0.511 0.302 x8



# 7
DFT (GGA-PBE) results for MgCdAsO4F after structural relaxation.

Computed properties:
energy	-5.4887	eV per atom

a = 6.608 Å, b = 8.887 Å, c = 7.039 Å
α = 90.00°, β = 113.69°, γ = 90.00°
Space group C2/c (No. 15)
Symmetry-distinct sites (fractional):
Mg 0.000 0.000 0.000 x4
Cd 0.000 0.336 0.250 x4
As 0.000 0.322 0.750 x4
O 0.120 0.213 0.622 x8
O 0.180 0.441 0.931 x8
F 0.000 0.082 0.250 x4



# 8
DFT (GGA-PBE) results for CdAs2S18N12O6F12 after structural relaxation.

Computed properties:
energy	-5.1859	eV per atom

a = 8.682 Å, b = 9.736 Å, c = 10.678 Å
α = 65.21°, β = 79.89°, γ = 86.78°
Space group P-1 (No. 2)
Symmetry-distinct sites (fractional):
Cd 0.000 0.000 0.000 x1
As 0.280 0.304 0.358 x2
S 0.103 0.434 0.751 x2
S 0.106 0.320 0.038 x2
S 0.149 0.889 0.381 x2
S 0.242 0.880 0.675 x2
S 0.281 0.899 0.177 x2
S 0.336 0.722 0.927 x2
S 0.342 0.030 0.752 x2
S 0.342 0.367 0.902 x2
S 0.353 0.654 0.411 x2
N 0.018 0.404 0.905 x2
N 0.215 0.728 0.476 x2
N 0.242 0.725 0.813 x2
N 0.283 0.412 0.756 x2
N 0.402 0.770 0.251 x2
N 0.411 0.887 0.874 x2
O 0.080 0.151 0.096 x2
O 0.158 0.827 0.137 x2
O 0.205 0.092 0.819 x2
F 0.101 0.227 0.356 x2
F 0.207 0.490 0.284 x2
F 0.209 0.293 0.528 x2
F 0.350 0.319 0.186 x2
F 0.357 0.120 0.429 x2
F 0.461 0.379 0.358 x2



# 9
DFT (GGA-PBE) results for CdAs2S2O4F12 after structural relaxation.

Computed properties:
energy	-4.6440	eV per atom

a = 14.638 Å, b = 17.179 Å, c = 7.966 Å
α = 90.00°, β = 90.00°, γ = 90.00°
Space group Fdd2 (No. 43)
Symmetry-distinct sites (fractional):
Cd 0.000 0.000 0.000 x8
As 0.079 0.196 0.857 x16
S 0.070 0.122 0.378 x16
O 0.057 0.080 0.222 x16
O 0.122 0.440 0.617 x16
F 0.001 0.186 0.693 x16
F 0.009 0.309 0.505 x16
F 0.070 0.299 0.848 x16
F 0.081 0.452 0.964 x16
F 0.087 0.092 0.866 x16
F 0.089 0.451 0.270 x16



# 10
DFT (GGA-PBE) results for CdAsPbF after structural relaxation.

Computed properties:
ΔE to the lowest computed polymorph	0.065	eV/atom

a = 6.842 Å, b = 7.033 Å, c = 7.440 Å
α = 90.00°, β = 90.00°, γ = 90.00°
Space group P2_12_12_1 (No. 19)
Symmetry-distinct sites (fractional):
Cd 0.242 0.055 0.356 x4
As 0.076 0.184 0.648 x4
Pb 0.228 0.540 0.435 x4
F 0.085 0.326 0.186 x4



# 11
DFT (GGA-PBE) results for CdAsPbF after structural relaxation.

Computed properties:
ΔE to the lowest computed polymorph	0.026	eV/atom

a = 4.264 Å, b = 4.264 Å, c = 9.283 Å
α = 90.00°, β = 90.00°, γ = 90.00°
Space group P4/nmm (No. 129, origin choice 2)
Symmetry-distinct sites (fractional):
Cd 0.250 0.750 0.000 x2
As 0.250 0.250 0.196 x2
Pb 0.250 0.250 0.657 x2
F 0.250 0.750 0.500 x2



# 12
DFT (GGA-PBE) results for CdAsPbF after structural relaxation.

Computed properties:
ΔE to the lowest computed polymorph	0.123	eV/atom

a = 4.0716 Å, b = 4.0716 Å, c = 36.3839 Å
α = 90.00°, β = 90.00°, γ = 120.00°
Space group R-3m (No. 166, hexagonal axes)
Symmetry-distinct sites (fractional):
Cd 0.0000 0.0000 0.1247 x6
As 0.0000 0.0000 0.4136 x6
Pb 0.0000 0.0000 0.2966 x6
F 0.0000 0.0000 0.1870 x6



# 13
DFT (GGA-PBE) results for CdAsPbF after structural relaxation.

Computed properties:
ΔE to the lowest computed polymorph	0.000	eV/atom

a = 4.3686 Å, b = 4.3686 Å, c = 32.3731 Å
α = 90.00°, β = 90.00°, γ = 120.00°
Space group R-3m (No. 166, hexagonal axes)
Symmetry-distinct sites (fractional):
Cd 0.0000 0.0000 0.1959 x6
As 0.0000 0.0000 0.1073 x6
Pb 0.0000 0.0000 0.3849 x6
F 0.0000 0.0000 0.3070 x6



# 14
DFT (GGA-PBE) results for CdAsPbF after structural relaxation.

Computed properties:
ΔE to the lowest computed polymorph	0.258	eV/atom

a = 4.004 Å, b = 4.004 Å, c = 11.192 Å
α = 90.00°, β = 90.00°, γ = 90.00°
Space group P4/nmm (No. 129, origin choice 2)
Symmetry-distinct sites (fractional):
Cd 0.250 0.250 0.148 x2
As 0.250 0.250 0.902 x2
Pb 0.250 0.250 0.640 x2
F 0.250 0.750 0.500 x2



# 15
DFT (GGA-PBE) results for CdAsPbF after structural relaxation.

Computed properties:
ΔE to the lowest computed polymorph	0.094	eV/atom

a = 6.914 Å, b = 7.233 Å, c = 7.464 Å
α = 90.00°, β = 90.00°, γ = 90.00°
Space group P2_12_12_1 (No. 19)
Symmetry-distinct sites (fractional):
Cd 0.057 0.194 0.441 x4
As 0.196 0.930 0.186 x4
Pb 0.018 0.215 0.958 x4
F 0.227 0.475 0.057 x4



# 16
DFT (GGA-PBE) results for CdAsPbF after structural relaxation.

Computed properties:
ΔE to the lowest computed polymorph	0.149	eV/atom

a = 9.794 Å, b = 18.624 Å, c = 4.231 Å
α = 90.00°, β = 90.00°, γ = 90.00°
Space group Pbam (No. 55)
Symmetry-distinct sites (fractional):
Cd 0.059 0.103 0.000 x4
Cd 0.134 0.579 0.000 x4
As 0.192 0.972 0.000 x4
As 0.249 0.713 0.000 x4
Pb 0.052 0.724 0.500 x4
Pb 0.222 0.387 0.500 x4
F 0.027 0.577 0.500 x4
F 0.027 0.857 0.500 x4



# 17
DFT (GGA-PBE) results for CdAsPbF after structural relaxation.

Computed properties:
ΔE to the lowest computed polymorph	0.394	eV/atom

a = 6.232 Å, b = 6.248 Å, c = 8.690 Å
α = 90.00°, β = 90.00°, γ = 90.00°
Space group Cmme (No. 67)
Symmetry-distinct sites (fractional):
Cd 0.000 0.250 0.132 x4
As 0.000 0.250 0.732 x4
Pb 0.250 0.000 0.500 x4
F 0.250 0.000 0.000 x4